A relaxed NdNi5Ge2 crystal, computed with PBE.

Lattice parameters (Å, degrees): 3.7437 6.0428 6.0428 67.11 71.95 71.95
Last column: nearest neighbours and their distance in Å.
Fractional coordinates of all 8 atoms:
Nd  0.0000  0.0000  0.0000  4 Ge 3.02, 10 Ni 3.11-3.34
Ni  0.0000  0.5000  0.5000  2 Ge 2.30
Ni  0.6414  0.5436  0.1736  3 Ge 2.35-2.45, 3 Ni 2.47-2.60
Ni  0.3586  0.4564  0.8264  3 Ge 2.35-2.45, 3 Ni 2.47-2.60
Ni  0.3586  0.8264  0.4564  3 Ge 2.35-2.45, 3 Ni 2.47-2.60
Ni  0.6414  0.1736  0.5436  3 Ge 2.35-2.45, 3 Ni 2.47-2.60
Ge  0.7536  0.7464  0.7464  7 Ni 2.30-2.45
Ge  0.2464  0.2536  0.2536  7 Ni 2.30-2.45

For the density of states at the Fermi level, the calculation gives 4.98 states/eV/f.u. The calculation puts the total energy at -5.7809 eV per atom. The magnetization comes out at 0.000 Bohr magnetons per cell.


A relaxed NdNi3Ge crystal, computed with PBE.

Lattice parameters (Å, degrees): 5.7597 5.7597 11.6751 90.00 90.00 120.00
Last column: nearest neighbours and their distance in Å.
Fractional coordinates of all 20 atoms:
Nd  0.3333  0.6667  0.2500  6 Ni 2.90
Nd  0.6667  0.3333  0.7500  6 Ni 2.90
Nd  0.0000  0.0000  0.5000  12 Ni 2.88-3.22
Nd  0.0000  0.0000  0.0000  12 Ni 2.88-3.22
Ni  0.1359  0.2718  0.7500  2 Ni 2.35, 2 Ge 2.37
Ni  0.2718  0.1359  0.2500  2 Ni 2.35, 2 Ge 2.37
Ni  0.8641  0.1359  0.2500  2 Ni 2.35, 2 Ge 2.37
Ni  0.1359  0.8641  0.7500  2 Ni 2.35, 2 Ge 2.37
Ni  0.7282  0.8641  0.7500  2 Ni 2.35, 2 Ge 2.37
Ni  0.8641  0.7282  0.2500  2 Ni 2.35, 2 Ge 2.37
Ni  0.5000  0.5000  0.5000  2 Ge 2.31
Ni  0.5000  0.0000  0.0000  2 Ge 2.31
Ni  0.5000  0.5000  0.0000  2 Ge 2.31
Ni  0.5000  0.0000  0.5000  2 Ge 2.31
Ni  0.0000  0.5000  0.5000  2 Ge 2.31
Ni  0.0000  0.5000  0.0000  2 Ge 2.31
Ge  0.6667  0.3333  0.1372  6 Ni 2.31-2.37
Ge  0.3333  0.6667  0.6372  6 Ni 2.31-2.37
Ge  0.3333  0.6667  0.8628  6 Ni 2.31-2.37
Ge  0.6667  0.3333  0.3628  6 Ni 2.31-2.37

For the density of states at the Fermi level, the calculation gives 1.06 states/eV/f.u. The calculation puts the total energy at -5.6084 eV per atom. The magnetization comes out at 0.000 Bohr magnetons per cell.


A relaxed Nd2NiGe crystal, computed with PBE.

Lattice parameters (Å, degrees): 4.4817 9.0499 5.8136 112.91 112.67 90.00
Last column: nearest neighbours and their distance in Å.
Fractional coordinates of all 8 atoms:
Nd  0.1730  0.5864  0.3458  2 Ni 2.82
Nd  0.8270  0.4136  0.6542  2 Ni 2.82
Nd  0.1728  0.0864  0.3458  2 Ni 2.82
Nd  0.8272  0.9136  0.6542  2 Ni 2.82
Ni  0.0002  0.7500  0.0000  2 Ge 2.24
Ni  0.9998  0.2500  0.0000  2 Ge 2.24
Ge  0.4998  0.2500  0.0000  2 Ni 2.24
Ge  0.5002  0.7500  0.0000  2 Ni 2.24

For the density of states at the Fermi level, the calculation gives 3.16 states/eV/f.u. The calculation puts the total energy at -5.3095 eV per atom. The magnetization comes out at 0.000 Bohr magnetons per cell.


A relaxed Nd3Ni3Ge crystal, computed with PBE.

Lattice parameters (Å, degrees): 4.1306 5.6986 13.6108 85.72 81.27 68.75
Last column: nearest neighbours and their distance in Å.
Fractional coordinates of all 14 atoms:
Nd  0.5298  0.3268  0.6136  6 Ni 2.94-3.15, 4 Ge 3.04-3.20
Nd  0.4702  0.6732  0.3864  6 Ni 2.94-3.15, 4 Ge 3.04-3.20
Nd  0.2524  0.2655  0.2296  6 Ni 2.95-3.20, 2 Ge 3.18
Nd  0.7476  0.7345  0.7704  6 Ni 2.95-3.20, 2 Ge 3.18
Nd  0.3965  0.2837  0.9233  7 Ni 3.01-3.11
Nd  0.6035  0.7163  0.0767  7 Ni 3.01-3.11
Ni  0.8610  0.7384  0.5397  3 Ge 2.42-2.65
Ni  0.1390  0.2616  0.4603  3 Ge 2.42-2.65
Ni  0.1030  0.8700  0.9240  2 Ni 2.49
Ni  0.8970  0.1300  0.0760  2 Ni 2.49
Ni  0.9500  0.8684  0.2316  1 Ni 2.49, 1 Ge 2.54
Ni  0.0500  0.1316  0.7684  1 Ni 2.49, 1 Ge 2.54
Ge  0.7560  0.0908  0.3971  4 Ni 2.42-2.65
Ge  0.2440  0.9092  0.6029  4 Ni 2.42-2.65

For the density of states at the Fermi level, the calculation gives 6.01 states/eV/f.u. The calculation puts the total energy at -5.6265 eV per atom. The magnetization comes out at 0.000 Bohr magnetons per cell.


A relaxed Nd2NiGe crystal, computed with PBE.

Lattice parameters (Å, degrees): 4.2454 6.0050 8.1036 110.41 90.00 90.00
Last column: nearest neighbours and their distance in Å.
Fractional coordinates of all 8 atoms:
Nd  0.7500  0.2240  0.4098  3 Ni 3.02-3.03, 4 Ge 3.09-3.15
Nd  0.2500  0.7760  0.5902  3 Ni 3.02-3.03, 4 Ge 3.09-3.15
Nd  0.2500  0.7711  0.0525  3 Ni 2.98-2.99, 3 Ge 3.11
Nd  0.7500  0.2289  0.9475  3 Ni 2.98-2.99, 3 Ge 3.11
Ni  0.2500  0.4044  0.2229  2 Ge 2.58
Ni  0.7500  0.5956  0.7771  2 Ge 2.58
Ge  0.7500  0.6658  0.2952  2 Ni 2.58
Ge  0.2500  0.3342  0.7048  2 Ni 2.58

For the density of states at the Fermi level, the calculation gives 3.22 states/eV/f.u. The calculation puts the total energy at -5.5567 eV per atom. The magnetization comes out at 0.000 Bohr magnetons per cell.


A relaxed NdNi12Ge6 crystal, computed with PBE.

Lattice parameters (Å, degrees): 6.7048 6.7048 6.7048 105.08 105.08 105.08
Last column: nearest neighbours and their distance in Å.
Fractional coordinates of all 19 atoms:
Nd  0.0000  0.0000  0.0000  6 Ni 3.11, 6 Ge 3.46
Ni  0.8808  0.1192  0.5000  4 Ge 2.30-2.32, 1 Ni 2.54
Ni  0.8395  0.5814  0.5814  3 Ge 2.40-2.45, 2 Ni 2.64
Ni  0.5814  0.5814  0.8395  3 Ge 2.40-2.45, 2 Ni 2.64
Ni  0.4186  0.1605  0.4186  3 Ge 2.40-2.45, 2 Ni 2.64
Ni  0.4186  0.4186  0.1605  3 Ge 2.40-2.45, 2 Ni 2.64
Ni  0.1605  0.4186  0.4186  3 Ge 2.40-2.45, 2 Ni 2.64
Ni  0.1192  0.5000  0.8808  4 Ge 2.30-2.32, 1 Ni 2.54
Ni  0.5000  0.8808  0.1192  4 Ge 2.30-2.32, 1 Ni 2.54
Ni  0.1192  0.8808  0.5000  4 Ge 2.30-2.32, 1 Ni 2.54
Ni  0.8808  0.5000  0.1192  4 Ge 2.30-2.32, 1 Ni 2.54
Ni  0.5000  0.1192  0.8808  4 Ge 2.30-2.32, 1 Ni 2.54
Ni  0.5814  0.8395  0.5814  3 Ge 2.40-2.45, 2 Ni 2.64
Ge  0.7020  0.2568  0.2568  7 Ni 2.30-2.45
Ge  0.2568  0.2568  0.7020  7 Ni 2.30-2.45
Ge  0.2568  0.7020  0.2568  7 Ni 2.30-2.45
Ge  0.7432  0.7432  0.2980  7 Ni 2.30-2.45
Ge  0.2980  0.7432  0.7432  7 Ni 2.30-2.45
Ge  0.7432  0.2980  0.7432  7 Ni 2.30-2.45

For the density of states at the Fermi level, the calculation gives 13.88 states/eV/f.u. The calculation puts the total energy at -5.6346 eV per atom. The magnetization comes out at 0.000 Bohr magnetons per cell.


A relaxed Nd3Ni7Ge2 crystal, computed with PBE.

Lattice parameters (Å, degrees): 3.9418 3.9418 13.4727 98.41 98.41 90.00
Last column: nearest neighbours and their distance in Å.
Fractional coordinates of all 12 atoms:
Nd  0.3254  0.3254  0.6508  5 Ni 2.85-3.01, 4 Ge 3.08
Nd  0.6746  0.6746  0.3492  5 Ni 2.85-3.01, 4 Ge 3.08
Nd  0.5000  0.5000  0.0000  12 Ni 2.79-2.81
Ni  0.0000  0.0000  0.0000  4 Nd 2.79, 8 Ni 2.81
Ni  0.9240  0.4240  0.8481  2 Ge 2.35
Ni  0.4240  0.9240  0.8481  2 Ge 2.35
Ni  0.0760  0.5760  0.1519  2 Ge 2.35
Ni  0.5760  0.0760  0.1519  2 Ge 2.35
Ni  0.2175  0.2175  0.4350  1 Ge 2.45
Ni  0.7825  0.7825  0.5650  1 Ge 2.45
Ge  0.1245  0.1245  0.2490  5 Ni 2.35-2.45
Ge  0.8755  0.8755  0.7510  5 Ni 2.35-2.45

For the density of states at the Fermi level, the calculation gives 9.12 states/eV/f.u. The calculation puts the total energy at -5.6329 eV per atom. The magnetization comes out at 0.000 Bohr magnetons per cell.


A relaxed NdNi5Ge3 crystal, computed with PBE.

Lattice parameters (Å, degrees): 3.7764 6.3398 11.8380 90.00 90.00 107.33
Last column: nearest neighbours and their distance in Å.
Fractional coordinates of all 18 atoms:
Nd  0.8380  0.6761  0.7500  7 Ge 3.13-3.32, 8 Ni 3.37-3.43
Nd  0.1620  0.3239  0.2500  7 Ge 3.13-3.32, 8 Ni 3.37-3.43
Ni  0.8065  0.6129  0.4341  4 Ge 2.28-2.46, 1 Ni 2.47
Ni  0.1935  0.3871  0.9341  4 Ge 2.28-2.46, 1 Ni 2.47
Ni  0.0000  0.0000  0.5000  4 Ge 2.43, 6 Ni 2.47-2.62
Ni  0.0000  0.0000  0.0000  4 Ge 2.43, 6 Ni 2.47-2.62
Ni  0.4486  0.8972  0.1444  4 Ge 2.37-2.39, 3 Ni 2.50-2.62
Ni  0.5514  0.1028  0.8556  4 Ge 2.37-2.39, 3 Ni 2.50-2.62
Ni  0.5514  0.1028  0.6444  4 Ge 2.37-2.39, 3 Ni 2.50-2.62
Ni  0.8065  0.6129  0.0659  4 Ge 2.28-2.46, 1 Ni 2.47
Ni  0.1935  0.3871  0.5659  4 Ge 2.28-2.46, 1 Ni 2.47
Ni  0.4486  0.8972  0.3556  4 Ge 2.37-2.39, 3 Ni 2.50-2.62
Ge  0.3806  0.7613  0.9564  7 Ni 2.28-2.46
Ge  0.8877  0.7755  0.2500  6 Ni 2.38-2.39
Ge  0.3806  0.7613  0.5436  7 Ni 2.28-2.46
Ge  0.6194  0.2387  0.4564  7 Ni 2.28-2.46
Ge  0.1123  0.2245  0.7500  6 Ni 2.38-2.39
Ge  0.6194  0.2387  0.0436  7 Ni 2.28-2.46

For the density of states at the Fermi level, the calculation gives 5.72 states/eV/f.u. The calculation puts the total energy at -5.7806 eV per atom. The magnetization comes out at 0.000 Bohr magnetons per cell.